Record 1
An optimized crystal structure of CaSnBi3. Source: Alexandria, functional PBE.

Computed properties:
D(E_F)	0.585	states/eV per atom
ΔE to the lowest computed polymorph	0.0	meV per atom
total magnetic moment	0.00	Bohr magnetons per cell
space group	No. 38

Structure (POSCAR):
```
CaSnBi3
1.0
-2.2563 -4.2490 -1.1654
2.5682 -2.1658 2.9241
-6.2907 -0.8797 4.8734
Ca Sn Bi
1 1 3
Direct
0.0549 0.5000 0.8901 Ca
0.3902 0.5000 0.2195 Sn
0.5351 0.0000 0.9298 Bi
0.2273 0.0000 0.5454 Bi
0.7525 0.5000 0.4950 Bi
```

Record 2
An optimized crystal structure of AlP2Pt. Source: Alexandria, functional PBE.

Computed properties:
D(E_F)	0.335	states/eV per atom
total magnetic moment	0.00	Bohr magnetons per cell
space group	No. 44

Structure (POSCAR):
```
AlP2Pt
1.0
5.5338 -0.0144 -0.0018
2.7117 4.8239 0.0018
-3.3671 -3.7004 2.3651
P Al Pt
2 1 1
Direct
0.0275 0.0275 0.0000 P
0.7170 0.2170 0.5000 P
0.2599 0.7599 0.5000 Al
0.4956 0.4956 0.0000 Pt
```

Record 3
An optimized crystal structure of TaAlAu2. Source: Alexandria, functional PBE.

Computed properties:
D(E_F)	1.121	states/eV per atom
total magnetic moment	0.43	Bohr magnetons per cell
space group	No. 119

Structure (POSCAR):
```
TaAlAu2
1.0
-0.0453 1.6449 4.7436
0.5540 -3.9139 3.0959
2.6389 1.4730 -4.0095
Au Al Ta
2 1 1
Direct
0.0000 0.0000 0.0000 Au
0.2500 0.7500 0.5000 Au
0.7500 0.2500 0.5000 Al
0.5000 0.5000 0.0000 Ta
```

Number 1: total energy -3.736 eV per atom, formation energy -0.21 eV/atom. Number 2: total energy -5.125 eV per atom, formation energy 0.03 eV/atom. Number 3: total energy -5.467 eV per atom, formation energy 0.07 eV/atom.